Record 1
# Hg2RuPt

A geometry-optimized Hg2RuPt structure (PBEsol, the Alexandria database).

Cell lengths 2.8649, 4.8885, 5.1409 Å; angles 110.61, 90.00, 90.00 degrees
Each line ends with the local moment (μB).
Atoms (fractional coordinates):
Hg1 0.5000 0.0000 0.5000  0.00
Hg2 0.0000 0.0000 0.0000  0.00
Ru1 0.0000 0.5000 0.5000  0.28
Pt1 0.5000 0.5000 0.0000  0.00

Properties
Spin magnetization in Bohr magnetons per cell: 0.28
Electronic total energy in eV/f.u.: -16.9
N(E_F) in states/eV/atom: 0.74
Mass density in g cm⁻³: 17.18

***

Record 2
# Hg2RuPt

A geometry-optimized Hg2RuPt structure (PBEsol, the Alexandria database).

Cell lengths 2.8976, 2.8976, 9.6087 Å; angles 81.33, 81.33, 60.00 degrees
Atoms (fractional coordinates):
Hg1 0.9934 0.9934 0.0198
Hg2 0.7553 0.7553 0.7341
Ru1 0.2445 0.2445 0.2665
Pt1 0.5068 0.5068 0.4796

Properties
Spin magnetization in Bohr magnetons per cell: 0.00
Electronic total energy in eV/f.u.: -17.0
N(E_F) in states/eV/atom: 0.83
Mass density in g cm⁻³: 16.83

***

Record 3
# HgRuPt2

A geometry-optimized HgRuPt2 structure (PBEsol, the Alexandria database).

Cell lengths 2.8119, 4.8086, 4.9164 Å; angles 99.19, 90.00, 107.00 degrees
Each line ends with the local moment (μB).
Atoms (fractional coordinates):
Pt1 0.2573 0.5146 0.2663  0.04
Pt2 0.7427 0.4854 0.7337  0.04
Ru1 0.0000 0.0000 0.5000  0.46
Hg1 0.5000 0.0000 0.0000  0.01

Properties
Spin magnetization in Bohr magnetons per cell: 0.56
Electronic total energy in eV/f.u.: -23.7
N(E_F) in states/eV/atom: 1.28
Mass density in g cm⁻³: 18.33

***

Record 4
# Hg2RuPt

A geometry-optimized Hg2RuPt structure (PBEsol, the Alexandria database).

Cell lengths 3.5543, 4.3500, 4.3500 Å; angles 90.00, 90.00, 90.00 degrees
Atoms (fractional coordinates):
Pt1 0.5000 0.5000 0.5000
Hg1 0.0000 0.5000 0.0000
Hg2 0.0000 0.0000 0.5000
Ru1 0.5000 0.0000 0.0000

Properties
Spin magnetization in Bohr magnetons per cell: 0.00
Electronic total energy in eV/f.u.: -16.8
N(E_F) in states/eV/atom: 1.03
Mass density in g cm⁻³: 17.22

***

Record 5
# Hg2RuPt

A geometry-optimized Hg2RuPt structure (PBEsol, the Alexandria database).

Cell lengths 2.8095, 4.8374, 5.8336 Å; angles 114.50, 103.93, 90.00 degrees
Atoms (fractional coordinates):
Hg1 0.7613 0.2613 0.5227
Hg2 0.9802 0.9802 0.9604
Ru1 0.2368 0.7368 0.4736
Pt1 0.5217 0.5217 0.0433

Properties
Spin magnetization in Bohr magnetons per cell: 0.00
Electronic total energy in eV/f.u.: -16.8
N(E_F) in states/eV/atom: 0.77
Mass density in g cm⁻³: 16.64

***

Record 6
# Hg2RuPt

A geometry-optimized Hg2RuPt structure (PBEsol, the Alexandria database).

Cell lengths 2.8755, 2.8755, 8.3773 Å; angles 90.00, 90.00, 90.00 degrees
Each line ends with the local moment (μB).
Atoms (fractional coordinates):
Hg1 0.0000 0.0000 0.9730  0.00
Hg2 0.5000 0.5000 0.2715  0.00
Pt1 0.0000 0.0000 0.5264  0.16
Ru1 0.5000 0.5000 0.7291  0.63

Properties
Spin magnetization in Bohr magnetons per cell: 0.81
Electronic total energy in eV/f.u.: -17.2
N(E_F) in states/eV/atom: 1.03
Mass density in g cm⁻³: 16.72